BaMgZn2Si2 | GGA-PBE | optimized geometry

- Total moment: 0.00 μB per formula unit
- Calculated volume: 129 Å³/cell
- Formation energy (no corrections): -0.23 eV per atom

abc: 4.3380 4.3380 7.9222
angles: 90.00 90.00 120.00
Positions (direct):
Ba (0.0000, 0.0000, 0.0000)
Mg (0.0000, 0.0000, 0.5000)
Zn (0.6667, 0.3333, 0.3275)
Zn (0.3333, 0.6667, 0.6725)
Si (0.6667, 0.3333, 0.7093)
Si (0.3333, 0.6667, 0.2907)

=====

Mn2AlW | GGA-PBE | optimized geometry

- Total moment: 0.45 μB per formula unit
- Calculated volume: 55 Å³/cell
- Energy of formation: 0.039 eV/atom

abc: 2.6922 3.7673 5.4023
angles: 90.00 90.00 90.00
Positions (direct):
Mn (0.0000, 0.0000, 0.9944)
Mn (0.5000, 0.5000, 0.2467)
Al (0.5000, 0.5000, 0.7663)
W (0.0000, 0.0000, 0.4927)

=====

AcNdCl2 | GGA-PBE | optimized geometry

- Total moment: 0.00 μB per formula unit
- Calculated volume: 129 Å³/cell
- Formation energy (no corrections): -1.35 eV per atom

abc: 3.8430 3.8430 10.3148
angles: 79.26 79.26 60.00
Positions (direct):
Ac (0.5000, 0.5000, 0.5000)
Nd (0.0000, 0.0000, 0.0000)
Cl (0.0933, 0.0933, 0.7202)
Cl (0.9067, 0.9067, 0.2798)

=====

Ag3PbS3 | GGA-PBE | optimized geometry

- Total moment: 0.00 μB per formula unit
- Calculated volume: 327 Å³/cell
- Formation energy (no corrections): -0.09 eV per atom

abc: 7.2989 7.2989 8.2548
angles: 63.76 63.76 60.00
Positions (direct):
Ag (0.4320, 0.8096, 0.6272)
Ag (0.8096, 0.1311, 0.6272)
Ag (0.1311, 0.4320, 0.6272)
Ag (0.8689, 0.5680, 0.3728)
Ag (0.1904, 0.8689, 0.3728)
Ag (0.5680, 0.1904, 0.3728)
Pb (0.3333, 0.3333, 0.0001)
Pb (0.6667, 0.6667, 0.9999)
S (0.2659, 0.5625, 0.2487)
S (0.9230, 0.2659, 0.2487)
S (0.5625, 0.9230, 0.2487)
S (0.4375, 0.0770, 0.7513)
S (0.0770, 0.7341, 0.7513)
S (0.7341, 0.4375, 0.7513)

=====

CsSiMoN | GGA-PBE | optimized geometry

- Total moment: 0.00 μB per formula unit
- Calculated volume: 96 Å³/cell
- Relative energy among the computed polymorphs: 64 meV per atom
- Formation energy (no corrections): 0.14 eV per atom

abc: 3.4864 4.4972 6.6909
angles: 96.30 89.99 112.75
Positions (direct):
Cs (0.4884, 0.0140, 0.0660)
Si (0.0926, 0.2275, 0.6075)
Mo (0.7932, 0.6294, 0.5175)
N (0.2330, 0.5087, 0.3921)

=====

ZrBeO3 | GGA-PBE | optimized geometry

- Total moment: 0.00 μB per formula unit
- Calculated volume: 110 Å³/cell
- Formation energy (no corrections): -2.91 eV per atom

abc: 3.2207 5.7170 5.9676
angles: 86.71 90.00 90.00
Positions (direct):
Zr (0.7500, 0.4178, 0.2413)
Zr (0.2500, 0.5822, 0.7587)
Be (0.7500, 0.0793, 0.6178)
Be (0.2500, 0.9207, 0.3822)
O (0.7500, 0.3591, 0.6254)
O (0.2500, 0.9578, 0.6602)
O (0.7500, 0.6757, 0.9493)
O (0.2500, 0.6409, 0.3746)
O (0.2500, 0.3243, 0.0507)
O (0.7500, 0.0422, 0.3398)